Record 1
Entry from the Alexandria database: a geometry-optimized Sm3Si2HgPt9 structure (PBE). Values from VASP.

Results
Formation energy (no corrections)   -734.3 meV/atom
V   21.06 A^3/atom

The structure in Quantum ESPRESSO input format:
```
&SYSTEM
  ibrav = 0, nat = 15, ntyp = 4
/
ATOMIC_SPECIES
Sm 150.36 Sm.upf
Si 28.09 Si.upf
Hg 200.59 Hg.upf
Pt 195.08 Pt.upf
CELL_PARAMETERS angstrom
5.692 0.000 0.000
-2.846 4.929 0.000
0.000 0.000 11.258
ATOMIC_POSITIONS angstrom
Sm 0.000 0.000 0.000
Sm 0.000 3.286 6.832
Sm 2.846 1.643 4.426
Si 0.000 3.286 1.764
Si 2.846 1.643 9.494
Hg 0.000 0.000 5.629
Pt -1.423 2.465 0.000
Pt 0.000 1.601 3.380
Pt -1.459 4.129 3.380
Pt 1.386 0.800 7.877
Pt 2.846 0.000 0.000
Pt 1.423 2.465 0.000
Pt 1.459 4.129 3.380
Pt 4.305 0.800 7.877
Pt 2.846 3.328 7.877
```

Record 2
Entry from the Alexandria database: a geometry-optimized AcMg4Tl5 structure (PBE). Values from VASP.

Results
Calculated formation energy   -2.3 kcal/mol of atoms
V   26.68 A^3/atom

The structure in Quantum ESPRESSO input format:
```
&SYSTEM
  ibrav = 0, nat = 10, ntyp = 3
/
ATOMIC_SPECIES
Ac 227.00 Ac.upf
Mg 24.30 Mg.upf
Tl 204.38 Tl.upf
CELL_PARAMETERS angstrom
3.755 0.000 0.000
0.000 3.755 0.000
0.000 0.000 18.919
ATOMIC_POSITIONS angstrom
Ac 0.000 0.000 0.000
Mg 0.000 0.000 4.070
Mg 0.000 0.000 7.654
Mg 0.000 0.000 11.266
Mg 0.000 0.000 14.850
Tl 1.877 1.877 2.361
Tl 1.877 1.877 5.873
Tl 1.877 1.877 9.460
Tl 1.877 1.877 13.046
Tl 1.877 1.877 16.558
```

Record 3
Entry from the Alexandria database: a geometry-optimized VCo3H structure (PBE). Values from VASP.

Results
Offset from the most stable computed form   303 meV per atom
V   9.75 A^3/atom

The structure in Quantum ESPRESSO input format:
```
&SYSTEM
  ibrav = 0, nat = 10, ntyp = 3
/
ATOMIC_SPECIES
V 50.94 V.upf
Co 58.93 Co.upf
H 1.01 H.upf
CELL_PARAMETERS angstrom
2.313 -4.501 0.000
2.313 4.501 0.000
0.000 0.000 4.685
ATOMIC_POSITIONS angstrom
V 2.313 3.833 3.514
V 2.313 -3.833 1.171
Co 1.114 1.758 3.514
Co 1.114 -1.758 1.171
Co 2.313 0.000 0.000
Co 2.313 0.000 2.342
Co 3.513 1.758 3.514
Co 3.513 -1.758 1.171
H 2.313 1.218 1.171
H 2.313 -1.218 3.514
```

Record 4
Entry from the Alexandria database: a geometry-optimized As2IrPd2 structure (PBE). Values from VASP.

Results
Offset from the most stable computed form   587 meV per atom
Calculated formation energy   10.7 kcal/mol of atoms
V   17.37 A^3/atom

The structure in Quantum ESPRESSO input format:
```
&SYSTEM
  ibrav = 0, nat = 10, ntyp = 3
/
ATOMIC_SPECIES
As 74.92 As.upf
Ir 192.22 Ir.upf
Pd 106.42 Pd.upf
CELL_PARAMETERS angstrom
3.803 0.000 0.000
0.000 3.803 0.000
0.000 0.000 12.007
ATOMIC_POSITIONS angstrom
As 0.000 1.902 3.002
As 0.000 1.902 9.005
As 1.902 0.000 3.002
As 1.902 0.000 9.005
Ir 0.000 0.000 0.000
Ir 1.902 1.902 6.003
Pd 0.000 0.000 4.694
Pd 0.000 0.000 7.312
Pd 1.902 1.902 1.309
Pd 1.902 1.902 10.698
```

Record 5
Entry from the Alexandria database: a geometry-optimized BeNiP structure (PBE). Values from VASP.

Results
Offset from the most stable computed form   83 meV per atom
Calculated formation energy   -7.4 kcal/mol of atoms
V   11.64 A^3/atom

The structure in Quantum ESPRESSO input format:
```
&SYSTEM
  ibrav = 0, nat = 12, ntyp = 3
/
ATOMIC_SPECIES
Be 9.01 Be.upf
Ni 58.69 Ni.upf
P 30.97 P.upf
CELL_PARAMETERS angstrom
5.189 0.000 0.000
0.000 5.189 0.000
0.000 0.000 5.189
ATOMIC_POSITIONS angstrom
Be 0.000 0.000 0.000
Be 0.000 2.594 2.594
Be 2.594 0.000 2.594
Be 2.594 2.594 0.000
Ni 0.000 0.000 2.594
Ni 0.000 2.594 0.000
Ni 2.594 0.000 0.000
Ni 2.594 2.594 2.594
P 1.297 1.297 3.891
P 1.297 3.891 1.297
P 3.891 1.297 1.297
P 3.891 3.891 3.891
```

Record 6
Entry from the Alexandria database: a geometry-optimized CeMnP2Ru structure (PBE). Values from VASP.

Results
Calculated formation energy   -22.2 kcal/mol of atoms
V   15.64 A^3/atom

The structure in Quantum ESPRESSO input format:
```
&SYSTEM
  ibrav = 0, nat = 10, ntyp = 4
/
ATOMIC_SPECIES
Ce 140.12 Ce.upf
Mn 54.94 Mn.upf
P 30.97 P.upf
Ru 101.07 Ru.upf
CELL_PARAMETERS angstrom
4.023 0.000 0.000
0.000 4.023 0.000
0.000 0.000 9.661
ATOMIC_POSITIONS angstrom
Ce 0.000 0.000 0.000
Ce 2.012 2.012 4.830
Mn 0.000 2.012 7.246
Mn 2.012 0.000 2.415
P 0.000 0.000 3.539
P 0.000 0.000 6.122
P 2.012 2.012 1.291
P 2.012 2.012 8.369
Ru 0.000 2.012 2.415
Ru 2.012 0.000 7.246
```

Record 7
Entry from the Alexandria database: a geometry-optimized PmSmSCl structure (PBE). Values from VASP.

Results
Formation energy (no corrections)   -1653.3 meV/atom
V   24.20 A^3/atom

The structure in Quantum ESPRESSO input format:
```
&SYSTEM
  ibrav = 0, nat = 8, ntyp = 4
/
ATOMIC_SPECIES
Pm 145.00 Pm.upf
Sm 150.36 Sm.upf
S 32.06 S.upf
Cl 35.45 Cl.upf
CELL_PARAMETERS angstrom
6.683 0.000 0.000
0.000 3.861 0.000
-2.220 0.000 7.503
ATOMIC_POSITIONS angstrom
Pm 0.000 0.000 0.000
Pm 3.342 1.930 0.000
Sm 1.117 1.930 3.193
Sm 4.458 0.000 3.193
S 2.230 0.000 1.585
S 5.571 1.930 1.585
Cl 0.004 0.000 5.284
Cl 3.345 1.930 5.284
```

Record 8
Entry from the Alexandria database: a geometry-optimized DyYHoTl structure (PBE). Values from VASP.

Results
Offset from the most stable computed form   0 meV per atom
Calculated formation energy   -4.2 kcal/mol of atoms
V   28.52 A^3/atom

The structure in Quantum ESPRESSO input format:
```
&SYSTEM
  ibrav = 0, nat = 4, ntyp = 4
/
ATOMIC_SPECIES
Dy 162.50 Dy.upf
Y 88.91 Y.upf
Ho 164.93 Ho.upf
Tl 204.38 Tl.upf
CELL_PARAMETERS angstrom
4.835 0.000 0.000
0.000 4.841 0.000
0.000 0.000 4.873
ATOMIC_POSITIONS angstrom
Dy 0.000 0.000 0.000
Y 2.417 0.000 2.437
Ho 2.417 2.420 0.000
Tl 0.000 2.420 2.437
```

Record 9
Entry from the Alexandria database: a geometry-optimized MnAlRe structure (PBE). Values from VASP.

Results
Offset from the most stable computed form   338 meV per atom
Calculated formation energy   2.0 kcal/mol of atoms
V   15.11 A^3/atom

The structure in Quantum ESPRESSO input format:
```
&SYSTEM
  ibrav = 0, nat = 12, ntyp = 3
/
ATOMIC_SPECIES
Mn 54.94 Mn.upf
Al 26.98 Al.upf
Re 186.21 Re.upf
CELL_PARAMETERS angstrom
5.660 0.000 0.000
0.000 5.660 0.000
0.000 0.000 5.660
ATOMIC_POSITIONS angstrom
Mn 0.000 0.000 0.000
Mn 0.000 2.830 2.830
Mn 2.830 0.000 2.830
Mn 2.830 2.830 0.000
Al 1.415 1.415 4.245
Al 1.415 4.245 1.415
Al 4.245 1.415 1.415
Al 4.245 4.245 4.245
Re 1.415 1.415 1.415
Re 1.415 4.245 4.245
Re 4.245 1.415 4.245
Re 4.245 4.245 1.415
```

Record 10
Entry from the Alexandria database: a geometry-optimized Li4Ho3TmTe8 structure (PBE). Values from VASP.

Results
Formation energy (no corrections)   -1282.6 meV/atom
V   28.52 A^3/atom

The structure in Quantum ESPRESSO input format:
```
&SYSTEM
  ibrav = 0, nat = 16, ntyp = 4
/
ATOMIC_SPECIES
Li 6.94 Li.upf
Ho 164.93 Ho.upf
Tm 168.93 Tm.upf
Te 127.60 Te.upf
CELL_PARAMETERS angstrom
4.321 2.495 7.054
-4.321 2.495 7.054
0.000 -4.990 7.054
ATOMIC_POSITIONS angstrom
Li 0.000 0.000 0.000
Li -2.161 -1.247 7.054
Li -2.161 1.247 14.107
Li 0.000 2.495 7.054
Ho -4.321 0.000 10.581
Ho -2.161 1.247 3.527
Ho 2.161 1.247 3.527
Tm 0.000 0.000 10.581
Te 0.000 -2.482 8.792
Te -2.150 1.241 8.792
Te 0.000 0.000 5.322
Te -2.150 -1.241 12.369
Te 2.150 1.241 8.792
Te 0.000 0.000 15.839
Te 2.150 -1.241 12.369
Te 0.000 2.482 12.369
```

Record 11
Entry from the Alexandria database: a geometry-optimized Ti3PtO structure (PBE). Values from VASP.

Results
Formation energy (no corrections)   -697.5 meV/atom
V   16.85 A^3/atom

The structure in Quantum ESPRESSO input format:
```
&SYSTEM
  ibrav = 0, nat = 15, ntyp = 3
/
ATOMIC_SPECIES
Ti 47.87 Ti.upf
Pt 195.08 Pt.upf
O 16.00 O.upf
CELL_PARAMETERS angstrom
7.367 0.000 0.000
-3.683 6.380 0.000
0.000 0.000 5.378
ATOMIC_POSITIONS angstrom
Ti 0.000 2.505 0.000
Ti -1.514 5.127 0.000
Ti 1.514 0.874 1.793
Ti 3.683 0.378 3.585
Ti 2.169 3.001 3.585
Ti 1.514 5.127 0.000
Ti 5.853 0.874 1.793
Ti 3.683 4.632 1.793
Ti 5.198 3.001 3.585
Pt 0.000 0.000 4.689
Pt 0.000 4.253 2.896
Pt 3.683 2.127 1.104
O 0.000 0.000 2.559
O 0.000 4.253 0.766
O 3.683 2.127 4.351
```

Record 12
Entry from the Alexandria database: a geometry-optimized SiHgRh2 structure (PBE). Values from VASP.

Results
Offset from the most stable computed form   724 meV per atom
Formation energy (no corrections)   249.1 meV/atom
V   15.69 A^3/atom

The structure in Quantum ESPRESSO input format:
```
&SYSTEM
  ibrav = 0, nat = 16, ntyp = 3
/
ATOMIC_SPECIES
Si 28.09 Si.upf
Hg 200.59 Hg.upf
Rh 102.91 Rh.upf
CELL_PARAMETERS angstrom
6.309 0.000 0.000
0.000 6.309 0.000
0.000 0.000 6.309
ATOMIC_POSITIONS angstrom
Si 0.000 0.000 0.000
Si 0.000 3.154 3.154
Si 3.154 0.000 3.154
Si 3.154 3.154 0.000
Hg 1.577 1.577 1.577
Hg 1.577 4.732 4.732
Hg 4.732 1.577 4.732
Hg 4.732 4.732 1.577
Rh 0.000 0.000 3.154
Rh 0.000 3.154 0.000
Rh 1.577 1.577 4.732
Rh 1.577 4.732 1.577
Rh 3.154 0.000 0.000
Rh 3.154 3.154 3.154
Rh 4.732 1.577 1.577
Rh 4.732 4.732 4.732
```

V of number 9 (MnAlRe)? 15.11 A^3/atom

Look up the V of the ninth one. 15.11 A^3/atom